# Dy4Ho3Mg (PBE, relaxed)
# Energy above the most stable polymorph in this dataset = 223 meV/atom
# Energy relative to the elements = 227 meV/atom
# N(E_F) = 1.389 states/eV per atom
# ρ = 7.80 g/cm3
data_Dy4Ho3Mg
_space_group_name_H-M_alt 'C 1 2/m 1'
_space_group_IT_number 12
_space_group_name_Hall '-C 2y'
_cell_length_a 25.4342
_cell_length_b 3.3742
_cell_length_c 5.8316
_cell_angle_alpha 90.00
_cell_angle_beta 95.66
_cell_angle_gamma 90.00
loop_
_atom_site_label
_atom_site_type_symbol
_atom_site_fract_x
_atom_site_fract_y
_atom_site_fract_z
Dy1 Dy 0.1018 0.0000 0.1966
Dy2 Dy 0.2179 0.5000 0.2376
Ho1 Ho 0.0000 0.0000 0.5000
Ho2 Ho 0.1497 0.0000 0.7157
Mg1 Mg 0.0000 0.5000 0.0000

=====

# DyHoMg4 (PBE, relaxed)
# Energy above the most stable polymorph in this dataset = 0 meV/atom
# Energy relative to the elements = -65 meV/atom
# N(E_F) = 1.247 states/eV per atom
# ρ = 4.56 g/cm3
data_DyHoMg4
_space_group_name_H-M_alt 'F -4 3 m'
_space_group_IT_number 216
_space_group_name_Hall 'F -4 2 3'
_cell_length_a 8.5189
_cell_length_b 8.5189
_cell_length_c 8.5189
_cell_angle_alpha 90.00
_cell_angle_beta 90.00
_cell_angle_gamma 90.00
loop_
_atom_site_label
_atom_site_type_symbol
_atom_site_fract_x
_atom_site_fract_y
_atom_site_fract_z
Dy1 Dy 0.0000 0.0000 0.0000
Ho1 Ho 0.2500 0.2500 0.7500
Mg1 Mg 0.1250 0.1250 0.3750

=====

> What is the formula in the first record?

Dy4Ho3Mg